No. 1
First-principles (PBE) data for crystalline LiHf2Pd9 at its relaxed geometry, as listed in Alexandria.

Unit cell a=3.9970 b=3.9970 c=11.8350 alpha=90.00 beta=90.00 gamma=90.00
Last column: nearest neighbours and their distance in Å.
Fractional positions:
Li (0.0000, 0.0000, 0.0000)  12 Pd 2.79-2.83
Hf (0.0000, 0.0000, 0.3260)  12 Pd 2.77-2.87
Hf (0.0000, 0.0000, 0.6740)  12 Pd 2.77-2.87
Pd (0.0000, 0.5000, 0.1642)  2 Hf 2.77, 2 Li 2.79, 8 Pd 2.79-2.83
Pd (0.0000, 0.5000, 0.5000)  8 Pd 2.81-2.83, 4 Hf 2.87
Pd (0.0000, 0.5000, 0.8358)  2 Hf 2.77, 2 Li 2.79, 8 Pd 2.79-2.83
Pd (0.5000, 0.0000, 0.1642)  2 Hf 2.77, 2 Li 2.79, 8 Pd 2.79-2.83
Pd (0.5000, 0.0000, 0.5000)  8 Pd 2.81-2.83, 4 Hf 2.87
Pd (0.5000, 0.0000, 0.8358)  2 Hf 2.77, 2 Li 2.79, 8 Pd 2.79-2.83
Pd (0.5000, 0.5000, 0.0000)  8 Pd 2.79, 4 Li 2.83
Pd (0.5000, 0.5000, 0.3331)  8 Pd 2.81-2.83, 4 Hf 2.83
Pd (0.5000, 0.5000, 0.6669)  8 Pd 2.81-2.83, 4 Hf 2.83

E_tot = -0.235 Ha/atom

No. 2
First-principles (PBE) data for crystalline LiHfPd14 at its relaxed geometry, as listed in Alexandria.

Unit cell a=5.6107 b=5.6107 c=7.8647 alpha=90.00 beta=90.00 gamma=90.00
Last column: nearest neighbours and their distance in Å.
Fractional positions:
Li (0.0000, 0.0000, 0.0000)  12 Pd 2.78-2.81
Hf (0.5000, 0.5000, 0.0000)  12 Pd 2.78-2.81
Pd (0.0000, 0.0000, 0.5000)  12 Pd 2.81
Pd (0.0000, 0.5000, 0.0000)  8 Pd 2.78, 2 Hf 2.81, 2 Li 2.81
Pd (0.0000, 0.5000, 0.5000)  12 Pd 2.81
Pd (0.2501, 0.2501, 0.2470)  1 Hf 2.78, 10 Pd 2.78-2.81, 1 Li 2.78
Pd (0.2501, 0.2501, 0.7530)  1 Hf 2.78, 10 Pd 2.78-2.81, 1 Li 2.78
Pd (0.2501, 0.7499, 0.2470)  1 Hf 2.78, 10 Pd 2.78-2.81, 1 Li 2.78
Pd (0.2501, 0.7499, 0.7530)  1 Hf 2.78, 10 Pd 2.78-2.81, 1 Li 2.78
Pd (0.5000, 0.0000, 0.0000)  8 Pd 2.78, 2 Hf 2.81, 2 Li 2.81
Pd (0.5000, 0.0000, 0.5000)  12 Pd 2.81
Pd (0.5000, 0.5000, 0.5000)  12 Pd 2.81
Pd (0.7499, 0.2501, 0.2470)  1 Hf 2.78, 10 Pd 2.78-2.81, 1 Li 2.78
Pd (0.7499, 0.2501, 0.7530)  1 Hf 2.78, 10 Pd 2.78-2.81, 1 Li 2.78
Pd (0.7499, 0.7499, 0.2470)  1 Hf 2.78, 10 Pd 2.78-2.81, 1 Li 2.78
Pd (0.7499, 0.7499, 0.7530)  1 Hf 2.78, 10 Pd 2.78-2.81, 1 Li 2.78

E_tot = -0.205 Ha/atom

No. 3
First-principles (PBE) data for crystalline LiHf2Pd8 at its relaxed geometry, as listed in Alexandria.

Unit cell a=7.6599 b=7.6599 c=5.8934 alpha=112.51 beta=112.51 gamma=33.99
Last column: nearest neighbours and their distance in Å.
Fractional positions:
Li (0.0000, 0.0000, 0.0000)  4 Pd 2.38
Hf (0.3115, 0.3115, 0.3120)  12 Pd 2.74-2.96
Hf (0.6885, 0.6885, 0.6880)  12 Pd 2.74-2.96
Pd (0.1344, 0.1344, 0.3968)  1 Li 2.38
Pd (0.1354, 0.1354, 0.8747)  1 Li 2.38
Pd (0.3207, 0.3207, 0.8197)  8 Pd 2.78-2.87, 4 Hf 2.86-2.96
Pd (0.4995, 0.4995, 0.2611)  2 Li 2.72, 7 Pd 2.81-2.88, 2 Hf 2.89-2.90
Pd (0.5005, 0.5005, 0.7389)  2 Li 2.72, 7 Pd 2.81-2.88, 2 Hf 2.89-2.90
Pd (0.6793, 0.6793, 0.1803)  8 Pd 2.78-2.87, 4 Hf 2.86-2.96
Pd (0.8646, 0.8646, 0.1253)  1 Li 2.38
Pd (0.8656, 0.8656, 0.6032)  1 Li 2.38

E_tot = -0.233 Ha/atom

No. 4
First-principles (PBE) data for crystalline Li3HfPd6 at its relaxed geometry, as listed in Alexandria.

Unit cell a=7.8912 b=4.1944 c=9.1244 alpha=90.00 beta=100.49 gamma=90.00
Last column: nearest neighbours and their distance in Å.
Fractional positions:
Li (0.0475, 0.2500, 0.3972)  8 Pd 2.51-2.70
Li (0.1511, 0.7500, 0.1802)  8 Pd 2.54-2.69
Li (0.2482, 0.2500, 0.9766)  10 Pd 2.64-2.89
Li (0.7518, 0.7500, 0.0234)  10 Pd 2.64-2.89
Li (0.8489, 0.2500, 0.8198)  8 Pd 2.54-2.69
Li (0.9525, 0.7500, 0.6028)  8 Pd 2.51-2.70
Hf (0.4312, 0.2500, 0.6209)  10 Pd 2.65-2.94
Hf (0.5688, 0.7500, 0.3791)  10 Pd 2.65-2.94
Pd (0.0358, 0.7500, 0.8961)  7 Li 2.59-2.71, 1 Pd 2.76
Pd (0.1151, 0.2500, 0.6891)  5 Li 2.51-2.64, 1 Hf 2.68, 2 Pd 2.79
Pd (0.2391, 0.7500, 0.4797)  4 Li 2.61-2.70, 3 Hf 2.76-2.91, 3 Pd 2.77-2.89
Pd (0.3376, 0.2500, 0.2937)  4 Li 2.63-2.85, 3 Pd 2.77-2.89, 3 Hf 2.80-2.94
Pd (0.3401, 0.7500, 0.7869)  8 Pd 2.73-2.83, 2 Hf 2.76, 2 Li 2.89
Pd (0.4375, 0.7500, 0.0903)  4 Li 2.54-2.67, 1 Hf 2.65, 3 Pd 2.73-2.83
Pd (0.5625, 0.2500, 0.9097)  4 Li 2.54-2.67, 1 Hf 2.65, 3 Pd 2.73-2.83
Pd (0.6599, 0.2500, 0.2131)  8 Pd 2.73-2.83, 2 Hf 2.76, 2 Li 2.89
Pd (0.6624, 0.7500, 0.7063)  4 Li 2.63-2.85, 3 Pd 2.77-2.89, 3 Hf 2.80-2.94
Pd (0.7609, 0.2500, 0.5203)  4 Li 2.61-2.70, 3 Hf 2.76-2.91, 3 Pd 2.77-2.89
Pd (0.8849, 0.7500, 0.3109)  5 Li 2.51-2.64, 1 Hf 2.68, 2 Pd 2.79
Pd (0.9642, 0.2500, 0.1039)  7 Li 2.59-2.71, 1 Pd 2.76

E_tot = -0.192 Ha/atom

> Which of these has the lowest E_tot?

LiHf2Pd9

> Look up the E_tot of the fourth one.

-0.192 Ha/atom